Record 1
A relaxed KBaNb crystal, computed with GGA-PBE.

It has space group P1 (No. 1), with a = 6.433 Å, b = 6.631 Å, c = 7.363 Å, α = 75.85°, β = 89.88° and γ = 61.15°. The asymmetric unit holds K at (0.000, 0.000, 0.000), K at (0.224, 0.552, 0.544), Ba at (0.611, 0.777, 0.848), Ba at (0.850, 0.298, 0.380), Nb at (0.341, 0.320, 0.090) and Nb at (0.509, 0.981, 0.304).

The energy of formation from the pure elements is 2.4 eV per formula unit. Its relative energy among the computed polymorphs is 407 meV/atom. The calculation puts the electronic total energy at -3.55 eV per atom. The magnetization comes out at 0.000 μB/atom. As for the density of states at the Fermi level: 0.883 states/eV per atom.

Record 2
A relaxed Li12Ag5Pd2 crystal, computed with GGA-PBE.

It has space group C2/m (No. 12), with a = 11.326 Å, b = 8.597 Å, c = 7.834 Å, α = 90.00°, β = 123.00° and γ = 90.00°. The asymmetric unit holds Li at (0.065, 0.000, 0.352), Li at (0.123, 0.500, 0.508), Li at (0.127, 0.318, 0.863), Li at (0.173, 0.265, 0.284), Ag at (0.000, 0.500, 0.000), Ag at (0.143, 0.000, 0.071), Ag at (0.203, 0.000, 0.769) and Pd at (0.000, 0.231, 0.500).

The energy of formation from the pure elements is -3.7 eV per formula unit. The calculation puts the electronic total energy at -2.70 eV per atom. The magnetization comes out at 0.000 μB/atom. As for the density of states at the Fermi level: 0.319 states/eV per atom.

Record 3
A relaxed DyIrRu crystal, computed with GGA-PBE.

It has space group Imma (No. 74), with a = 5.198 Å, b = 5.419 Å, c = 7.674 Å, α = 90.00°, β = 90.00° and γ = 90.00°. The asymmetric unit holds Dy at (0.000, 0.250, 0.123), Ir at (0.000, 0.000, 0.500) and Ru at (0.250, 0.250, 0.750).

The energy of formation from the pure elements is -1.7 eV per formula unit. Its relative energy among the computed polymorphs is 5 meV/atom. The calculation puts the electronic total energy at -8.15 eV per atom. The magnetization comes out at 0.000 μB/atom. As for the density of states at the Fermi level: 0.959 states/eV per atom.

Record 4
A relaxed AlP2Rh crystal, computed with GGA-PBE.

It has space group Imm2 (No. 44), with a = 3.168 Å, b = 4.649 Å, c = 7.823 Å, α = 90.00°, β = 90.00° and γ = 90.00°. The asymmetric unit holds Al at (0.000, 0.000, 0.000), P at (0.000, 0.000, 0.474), P at (0.000, 0.500, 0.750) and Rh at (0.000, 0.500, 0.218).

The energy of formation from the pure elements is -0.1 eV per formula unit. The calculation puts the electronic total energy at -5.50 eV per atom. The magnetization comes out at 0.000 μB/atom. As for the density of states at the Fermi level: 0.623 states/eV per atom.

- Among the records above, which one has the lowest energy of formation from the pure elements?
  Li12Ag5Pd2

- What is the formula in the third record?
  DyIrRu